# 1
The following is a PBE-GGA calculation of crystalline CsTbSmTe3 at its relaxed geometry, from OQMD via LeMat-Bulk.

Computed properties:
Space group   Cmcm
Distance to the lowest polymorph of the same formula   27 meV/atom

Cell and atoms, written as POSCAR:
```
CsTbSmTe3
1.0
2.445 -8.784 0.000
2.445 8.784 0.000
0.000 0.000 11.864
Cs Tb Sm Te
2 2 2 6
Direct
0.246 0.754 0.750
0.754 0.246 0.250
0.500 0.500 0.000
0.500 0.500 0.500
0.030 0.970 0.250
0.970 0.030 0.750
0.118 0.882 0.036
0.118 0.882 0.464
0.433 0.567 0.250
0.567 0.433 0.750
0.882 0.118 0.536
0.882 0.118 0.964
```

# 2
The following is a PBE-GGA calculation of crystalline TaPCSe2 at its relaxed geometry, from OQMD via LeMat-Bulk.

Computed properties:
Space group   P3m1

Cell and atoms, written as POSCAR:
```
TaPCSe2
1.0
3.369 0.000 0.000
-1.684 2.917 0.000
0.000 0.000 10.023
Ta P C Se
1 1 1 2
Direct
0.000 0.000 0.000
0.333 0.667 0.263
0.667 0.333 0.097
0.000 0.000 0.415
0.333 0.667 0.821
```

E_tot? In order: -4.506, -6.609 eV per atom.